Material: KIn3S
Method: DFT, GGA-PBE
State: relaxed

abc: 5.6571 5.6571 5.6571
angles: 90.00 90.00 90.00
Element x y z (fractional)
K 0.0000 0.0000 0.0000
In 0.0000 0.5000 0.5000
In 0.5000 0.0000 0.5000
In 0.5000 0.5000 0.0000
S 0.5000 0.5000 0.5000

Results
uncorrected energy: -2.626 eV per atom
polymorph energy (0 for the lowest one): 0 meV/atom
SG: No. 221
uncorrected formation energy: 62 meV per atom


Material: InRhBr2
Method: DFT, GGA-PBE
State: relaxed

abc: 6.8532 6.8532 3.6972
angles: 90.00 90.00 133.22
Element x y z (fractional)
In 0.0000 0.0000 0.0000
Rh 0.5000 0.5000 0.0000
Br 0.3628 0.6372 0.5000
Br 0.6372 0.3628 0.5000

Results
uncorrected energy: -3.627 eV per atom
polymorph energy (0 for the lowest one): 8 meV/atom
SG: No. 65
uncorrected formation energy: -268 meV per atom


Material: CdHg2Pb
Method: DFT, GGA-PBE
State: relaxed

abc: 10.2974 10.2974 10.2974
angles: 19.59 19.59 19.59
Element x y z (fractional)
Cd 0.0000 0.0000 0.0000
Hg 0.2568 0.2568 0.2568
Hg 0.7432 0.7432 0.7432
Pb 0.5000 0.5000 0.5000

Results
uncorrected energy: -1.274 eV per atom
SG: No. 166
ΔE_f: 0.033 eV/atom


Material: TmScSnHg
Method: DFT, GGA-PBE
State: relaxed

abc: 5.1241 5.1241 5.1241
angles: 60.00 60.00 60.00
Element x y z (fractional)
Tm 0.0000 0.0000 0.0000
Sc 0.5000 0.5000 0.5000
Sn 0.2500 0.2500 0.2500
Hg 0.7500 0.7500 0.7500

Results
uncorrected energy: -4.270 eV per atom
SG: No. 216
ΔE_f: -0.493 eV/atom


Material: La2ZrSn2
Method: DFT, GGA-PBE
State: relaxed

abc: 7.9927 7.9927 4.6976
angles: 90.00 90.00 90.00
Element x y z (fractional)
La 0.1694 0.3306 0.0000
La 0.3306 0.8306 0.0000
La 0.6694 0.1694 0.0000
La 0.8306 0.6694 0.0000
Zr 0.0000 0.0000 0.5000
Zr 0.5000 0.5000 0.5000
Sn 0.1382 0.6382 0.5000
Sn 0.3618 0.1382 0.5000
Sn 0.6382 0.8618 0.5000
Sn 0.8618 0.3618 0.5000

Results
uncorrected energy: -5.870 eV per atom
SG: No. 127
ΔE_f: -0.588 eV/atom


Material: MgHgAu4
Method: DFT, GGA-PBE
State: relaxed

abc: 5.5655 5.5655 5.5655
angles: 60.00 60.00 60.00
Element x y z (fractional)
Mg 0.0000 0.0000 0.0000
Hg 0.2500 0.2500 0.2500
Au 0.1243 0.6252 0.6252
Au 0.6252 0.1243 0.6252
Au 0.6252 0.6252 0.1243
Au 0.6252 0.6252 0.6252

Results
uncorrected energy: -2.635 eV per atom
polymorph energy (0 for the lowest one): 59 meV/atom
SG: No. 216
ΔE_f: -0.134 eV/atom


Material: MnSi2Ag
Method: DFT, GGA-PBE
State: relaxed

abc: 2.7441 2.7441 7.8175
angles: 90.00 90.00 90.00
Element x y z (fractional)
Mn 0.0000 0.0000 0.0000
Si 0.0000 0.0000 0.4395
Si 0.5000 0.5000 0.2002
Ag 0.5000 0.5000 0.7283

Results
uncorrected energy: -5.445 eV per atom
polymorph energy (0 for the lowest one): 309 meV/atom
SG: No. 99
uncorrected formation energy: 272 meV per atom


Material: CeBiAs2Rh5
Method: DFT, GGA-PBE
State: relaxed

abc: 4.0605 4.0605 11.0959
angles: 90.00 90.00 90.00
Element x y z (fractional)
Ce 0.0000 0.0000 0.0000
Bi 0.0000 0.0000 0.5000
As 0.5000 0.5000 0.2156
As 0.5000 0.5000 0.7844
Rh 0.0000 0.5000 0.3309
Rh 0.0000 0.5000 0.6691
Rh 0.5000 0.0000 0.3309
Rh 0.5000 0.0000 0.6691
Rh 0.5000 0.5000 0.0000

Results
uncorrected energy: -6.640 eV per atom
SG: No. 123
ΔE_f: -0.432 eV/atom